The following is a DFT calculation (PBE+U) of an optimized crystal structure of VPt2F.

Output
Magnetic moment = 4.10 μB/cell
ΔE to the lowest computed polymorph = 0 meV/atom

a = 6.245 Å, b = 6.245 Å, c = 6.245 Å
α = 96.80°, β = 96.80°, γ = 139.76°
Element x y z (fractional)
V: 0.000 0.000 0.000
V: 0.750 0.250 0.500
Pt: 0.056 0.625 0.931
Pt: 0.375 0.306 0.431
Pt: 0.694 0.125 0.069
Pt: 0.875 0.944 0.569
F: 0.250 0.750 0.500
F: 0.500 0.500 0.000